(1)
! LiCrP4O12 (PBE with a Hubbard U, relaxed); values from VASP
&SYSTEM
  ibrav = 0, nat = 36, ntyp = 4
/
ATOMIC_SPECIES
Li 6.94 Li.upf
Cr 52.00 Cr.upf
P 30.97 P.upf
O 16.00 O.upf
ATOMIC_POSITIONS crystal
Li 0.170 0.830 0.250
Li 0.830 0.170 0.750
Cr 0.114 0.886 0.750
Cr 0.886 0.114 0.250
P 0.380 0.732 0.963
P 0.268 0.620 0.537
P 0.803 0.721 0.027
P 0.732 0.380 0.463
P 0.620 0.268 0.037
P 0.197 0.279 0.973
P 0.279 0.197 0.473
P 0.721 0.803 0.527
O 0.500 0.692 0.596
O 0.706 0.268 0.895
O 0.294 0.732 0.105
O 0.898 0.858 0.147
O 0.874 0.356 0.348
O 0.057 0.288 0.092
O 0.732 0.294 0.605
O 0.692 0.500 0.096
O 0.500 0.308 0.404
O 0.213 0.374 0.539
O 0.712 0.943 0.408
O 0.644 0.126 0.152
O 0.102 0.142 0.853
O 0.356 0.874 0.848
O 0.858 0.898 0.647
O 0.787 0.626 0.461
O 0.288 0.057 0.592
O 0.142 0.102 0.353
O 0.308 0.500 0.904
O 0.268 0.706 0.395
O 0.374 0.213 0.039
O 0.943 0.712 0.908
O 0.126 0.644 0.652
O 0.626 0.787 0.961
CELL_PARAMETERS angstrom
6.955 -0.008 0.001
-2.302 6.563 0.001
0.191 0.269 9.552
! Final energy   -0.2634 hartree per atom


(2)
! LiCrP2O7 (PBE with a Hubbard U, relaxed); values from VASP
&SYSTEM
  ibrav = 0, nat = 44, ntyp = 4
/
ATOMIC_SPECIES
Li 6.94 Li.upf
Cr 52.00 Cr.upf
P 30.97 P.upf
O 16.00 O.upf
ATOMIC_POSITIONS crystal
Li 0.369 0.763 0.652
Li 0.915 0.022 0.846
Li 0.086 0.980 0.152
Li 0.632 0.240 0.346
Cr 0.238 0.874 0.360
Cr 0.267 0.403 0.860
Cr 0.734 0.599 0.138
Cr 0.764 0.129 0.638
P 0.386 0.910 0.862
P 0.262 0.586 0.071
P 0.157 0.334 0.427
P 0.728 0.752 0.363
P 0.273 0.250 0.635
P 0.844 0.668 0.571
P 0.739 0.416 0.927
P 0.615 0.092 0.136
O 0.231 0.072 0.879
O 0.061 0.667 0.127
O 0.451 0.111 0.619
O 0.625 0.019 0.800
O 0.915 0.216 0.481
O 0.278 0.728 0.816
O 0.409 0.798 0.978
O 0.181 0.558 0.355
O 0.413 0.538 0.143
O 0.197 0.398 0.017
O 0.276 0.389 0.520
O 0.707 0.813 0.627
O 0.044 0.095 0.682
O 0.320 0.427 0.698
O 0.681 0.576 0.300
O 0.957 0.908 0.316
O 0.294 0.190 0.371
O 0.726 0.614 0.478
O 0.804 0.605 0.981
O 0.588 0.465 0.855
O 0.820 0.445 0.643
O 0.592 0.205 0.020
O 0.724 0.274 0.182
O 0.086 0.786 0.517
O 0.376 0.983 0.198
O 0.550 0.892 0.379
O 0.940 0.335 0.871
O 0.771 0.931 0.119
CELL_PARAMETERS angstrom
6.323 -0.012 0.153
-0.994 6.245 -0.139
2.552 3.185 12.527
! Final energy   -0.2652 hartree per atom


(3)
! Li2CrP2O7 (PBE with a Hubbard U, relaxed); values from VASP
&SYSTEM
  ibrav = 0, nat = 48, ntyp = 4
/
ATOMIC_SPECIES
Li 6.94 Li.upf
Cr 52.00 Cr.upf
P 30.97 P.upf
O 16.00 O.upf
ATOMIC_POSITIONS crystal
Li 0.684 0.508 0.926
Li 0.162 0.070 0.802
Li 0.184 0.492 0.574
Li 0.662 0.930 0.698
Li 0.338 0.070 0.302
Li 0.816 0.508 0.426
Li 0.838 0.930 0.198
Li 0.316 0.492 0.074
Cr 0.789 0.772 0.993
Cr 0.711 0.772 0.493
Cr 0.289 0.228 0.507
Cr 0.211 0.228 0.007
P 0.676 0.199 0.878
P 0.196 0.688 0.846
P 0.176 0.801 0.622
P 0.696 0.312 0.654
P 0.304 0.688 0.346
P 0.824 0.199 0.378
P 0.804 0.312 0.154
P 0.324 0.801 0.122
O 0.798 0.293 0.935
O 0.384 0.166 0.898
O 0.304 0.508 0.931
O 0.366 0.847 0.827
O 0.701 0.344 0.755
O 0.911 0.714 0.868
O 0.833 0.036 0.891
O 0.201 0.656 0.745
O 0.804 0.492 0.569
O 0.884 0.834 0.602
O 0.333 0.964 0.609
O 0.298 0.707 0.565
O 0.411 0.286 0.632
O 0.866 0.153 0.673
O 0.134 0.847 0.327
O 0.589 0.714 0.368
O 0.702 0.293 0.435
O 0.667 0.036 0.391
O 0.116 0.166 0.398
O 0.196 0.508 0.431
O 0.799 0.344 0.255
O 0.167 0.964 0.109
O 0.089 0.286 0.132
O 0.299 0.656 0.245
O 0.634 0.153 0.173
O 0.696 0.492 0.069
O 0.616 0.834 0.102
O 0.202 0.707 0.065
CELL_PARAMETERS angstrom
5.178 0.000 0.000
0.000 8.455 0.000
0.000 6.722 12.893
! Final energy   -0.2558 hartree per atom


(4)
! LiCrP4O12 (PBE with a Hubbard U, relaxed); values from VASP
&SYSTEM
  ibrav = 0, nat = 72, ntyp = 4
/
ATOMIC_SPECIES
Li 6.94 Li.upf
Cr 52.00 Cr.upf
P 30.97 P.upf
O 16.00 O.upf
ATOMIC_POSITIONS crystal
Li 0.003 0.750 0.000
Li 0.503 0.750 0.500
Li 0.497 0.250 0.500
Li 0.997 0.250 0.000
Cr 0.870 0.750 0.500
Cr 0.130 0.250 0.500
Cr 0.630 0.250 0.000
Cr 0.370 0.750 0.000
P 0.465 0.490 0.849
P 0.535 0.990 0.849
P 0.965 0.490 0.651
P 0.179 0.995 0.862
P 0.179 0.505 0.138
P 0.821 0.005 0.138
P 0.465 0.010 0.151
P 0.535 0.510 0.151
P 0.035 0.510 0.349
P 0.965 0.010 0.349
P 0.321 0.005 0.362
P 0.679 0.505 0.362
P 0.321 0.495 0.638
P 0.679 0.995 0.638
P 0.035 0.990 0.651
P 0.821 0.495 0.862
O 0.868 0.878 0.374
O 0.465 0.371 0.930
O 0.535 0.871 0.930
O 0.808 0.367 0.937
O 0.192 0.633 0.063
O 0.808 0.133 0.063
O 0.465 0.129 0.070
O 0.535 0.629 0.070
O 0.093 0.376 0.102
O 0.907 0.876 0.102
O 0.368 0.878 0.126
O 0.632 0.378 0.126
O 0.355 0.464 0.179
O 0.645 0.964 0.179
O 0.100 0.576 0.242
O 0.900 0.076 0.242
O 0.400 0.076 0.258
O 0.600 0.576 0.258
O 0.145 0.964 0.321
O 0.855 0.464 0.321
O 0.132 0.378 0.374
O 0.192 0.867 0.937
O 0.407 0.876 0.398
O 0.593 0.376 0.398
O 0.035 0.629 0.430
O 0.965 0.129 0.430
O 0.308 0.133 0.437
O 0.692 0.633 0.437
O 0.308 0.367 0.563
O 0.692 0.867 0.563
O 0.035 0.871 0.570
O 0.965 0.371 0.570
O 0.407 0.624 0.602
O 0.593 0.124 0.602
O 0.132 0.122 0.626
O 0.868 0.622 0.626
O 0.145 0.536 0.679
O 0.855 0.036 0.679
O 0.400 0.424 0.742
O 0.600 0.924 0.742
O 0.100 0.924 0.758
O 0.900 0.424 0.758
O 0.355 0.036 0.821
O 0.645 0.536 0.821
O 0.368 0.622 0.874
O 0.907 0.624 0.898
O 0.093 0.124 0.898
O 0.632 0.122 0.874
CELL_PARAMETERS angstrom
-1.339 -6.254 5.402
-4.243 -4.879 -6.699
11.149 -5.210 -3.268
! Final energy   -0.2649 hartree per atom


(5)
! LiCrP2O7 (PBE with a Hubbard U, relaxed); values from VASP
&SYSTEM
  ibrav = 0, nat = 22, ntyp = 4
/
ATOMIC_SPECIES
Li 6.94 Li.upf
Cr 52.00 Cr.upf
P 30.97 P.upf
O 16.00 O.upf
ATOMIC_POSITIONS crystal
Li 0.623 0.860 0.668
Li 0.860 0.623 0.168
Cr 0.778 0.167 0.463
Cr 0.167 0.778 0.963
P 0.239 0.558 0.396
P 0.326 0.884 0.121
P 0.884 0.326 0.621
P 0.558 0.239 0.896
O 0.009 0.127 0.202
O 0.626 0.151 0.740
O 0.999 0.762 0.535
O 0.434 0.600 0.292
O 0.762 0.999 0.035
O 0.151 0.626 0.240
O 0.127 0.009 0.702
O 0.847 0.351 0.450
O 0.879 0.521 0.585
O 0.521 0.879 0.085
O 0.351 0.847 0.950
O 0.466 0.242 0.488
O 0.242 0.466 0.988
O 0.600 0.434 0.792
CELL_PARAMETERS angstrom
8.586 0.417 0.445
6.870 5.166 0.445
4.463 1.612 7.321
! Final energy   -0.2608 hartree per atom


(6)
! LiCrP2O7 (PBE with a Hubbard U, relaxed); values from VASP
&SYSTEM
  ibrav = 0, nat = 44, ntyp = 4
/
ATOMIC_SPECIES
Li 6.94 Li.upf
Cr 52.00 Cr.upf
P 30.97 P.upf
O 16.00 O.upf
ATOMIC_POSITIONS crystal
Li 0.954 0.869 0.860
Li 0.046 0.131 0.140
Li 0.546 0.369 0.360
Li 0.454 0.631 0.640
Cr 0.420 0.122 0.114
Cr 0.920 0.378 0.386
Cr 0.080 0.622 0.614
Cr 0.580 0.878 0.886
P 0.229 0.687 0.258
P 0.771 0.313 0.742
P 0.271 0.187 0.758
P 0.764 0.430 0.035
P 0.736 0.930 0.535
P 0.236 0.570 0.965
P 0.264 0.070 0.465
P 0.729 0.813 0.242
O 0.737 0.575 0.309
O 0.103 0.177 0.410
O 0.248 0.333 0.039
O 0.400 0.139 0.338
O 0.600 0.861 0.662
O 0.752 0.667 0.961
O 0.897 0.823 0.590
O 0.397 0.677 0.910
O 0.252 0.833 0.539
O 0.659 0.863 0.394
O 0.100 0.639 0.838
O 0.880 0.926 0.174
O 0.237 0.925 0.191
O 0.581 0.889 0.121
O 0.081 0.611 0.379
O 0.748 0.167 0.461
O 0.620 0.426 0.674
O 0.263 0.425 0.691
O 0.841 0.363 0.894
O 0.380 0.574 0.326
O 0.159 0.637 0.106
O 0.919 0.389 0.621
O 0.419 0.111 0.879
O 0.763 0.075 0.809
O 0.120 0.074 0.826
O 0.900 0.361 0.162
O 0.341 0.137 0.606
O 0.603 0.323 0.090
CELL_PARAMETERS angstrom
-1.765 7.517 3.047
-5.557 -2.640 3.294
2.066 -2.798 8.099
! Final energy   -0.2641 hartree per atom


(7)
! LiCrP2O7 (PBE with a Hubbard U, relaxed); values from VASP
&SYSTEM
  ibrav = 0, nat = 22, ntyp = 4
/
ATOMIC_SPECIES
Li 6.94 Li.upf
Cr 52.00 Cr.upf
P 30.97 P.upf
O 16.00 O.upf
ATOMIC_POSITIONS crystal
Li 0.954 0.991 0.318
Li 0.500 0.943 0.178
Cr 0.230 0.693 0.358
Cr 0.776 0.320 0.606
P 0.204 0.561 0.798
P 0.327 0.254 0.458
P 0.676 0.753 0.495
P 0.803 0.443 0.153
O 0.036 0.386 0.748
O 0.192 0.728 0.666
O 0.208 0.022 0.410
O 0.231 0.365 0.295
O 0.351 0.412 0.722
O 0.290 0.695 0.058
O 0.491 0.782 0.507
O 0.511 0.225 0.432
O 0.725 0.311 0.895
O 0.652 0.579 0.231
O 0.772 0.652 0.667
O 0.783 0.978 0.501
O 0.821 0.274 0.288
O 0.966 0.635 0.217
CELL_PARAMETERS angstrom
7.941 0.083 0.046
-0.850 6.208 0.067
-1.442 -2.215 5.722
! Final energy   -0.2644 hartree per atom


(8)
! LiCr2P2O8 (PBE with a Hubbard U, relaxed); values from VASP
&SYSTEM
  ibrav = 0, nat = 26, ntyp = 4
/
ATOMIC_SPECIES
Li 6.94 Li.upf
Cr 52.00 Cr.upf
P 30.97 P.upf
O 16.00 O.upf
ATOMIC_POSITIONS crystal
Li 0.215 0.512 0.668
Li 0.785 0.488 0.332
Cr 0.065 0.005 0.717
Cr 0.648 0.807 0.055
Cr 0.352 0.193 0.945
Cr 0.935 0.995 0.283
P 0.183 0.724 0.972
P 0.258 0.788 0.384
P 0.742 0.212 0.616
P 0.817 0.276 0.028
O 0.260 0.500 0.004
O 0.024 0.715 0.370
O 0.242 0.008 0.307
O 0.038 0.180 0.899
O 0.377 0.866 0.966
O 0.240 0.813 0.549
O 0.114 0.743 0.829
O 0.492 0.657 0.309
O 0.508 0.343 0.691
O 0.886 0.257 0.171
O 0.760 0.187 0.451
O 0.623 0.134 0.034
O 0.962 0.820 0.101
O 0.758 0.992 0.693
O 0.976 0.285 0.630
O 0.740 0.500 0.996
CELL_PARAMETERS angstrom
-3.110 -2.342 4.596
1.679 -6.070 -0.885
5.705 0.405 7.743
! Final energy   -0.2672 hartree per atom